The following is a PBE-GGA calculation of an optimized crystal structure of Ga2NiSnBi, from Alexandria.

Calculated values
energy of formation	-0.01	eV/atom
DOS at the Fermi energy	4.03	states/eV/f.u.
total magnetic moment	0.00	μB per cell

Cell lengths 4.6661, 4.6661, 5.2129 Å; angles 90.00, 90.00, 90.00 degrees
Last column: nearest neighbours and their distance in Å.
Space group P4/mmm (No. 123)
Inequivalent atoms, fractional coordinates:
Ga (0.0000, 0.5000, 0.0000) x2  2 Ni 2.33
Ni (0.0000, 0.0000, 0.0000) x1  4 Ga 2.33, 2 Sn 2.61
Sn (0.0000, 0.0000, 0.5000) x1  2 Ni 2.61
Bi (0.5000, 0.5000, 0.5000) x1  4 Sn 3.30, 8 Ga 3.50

---

The following is a PBE-GGA calculation of an optimized crystal structure of KRbHgBr, from Alexandria.

Calculated values
DOS at the Fermi energy	3.20	states/eV/f.u.
formation energy (no corrections)	-74.6	kJ per mole of atoms
total magnetic moment	0.00	μB per cell

Cell lengths 8.6415, 8.6415, 8.6415 Å; angles 90.00, 90.00, 90.00 degrees
Last column: nearest neighbours and their distance in Å.
Space group F-43m (No. 216)
Inequivalent atoms, fractional coordinates:
K (0.0000, 0.0000, 0.0000) x4  4 Hg 3.74, 4 Br 3.74
Rb (0.0000, 0.0000, 0.5000) x4  4 Br 3.74, 4 Hg 3.74
Hg (0.2500, 0.2500, 0.2500) x4  4 K 3.74, 4 Rb 3.74
Br (0.2500, 0.2500, 0.7500) x4  4 K 3.74, 4 Rb 3.74

---

The following is a PBE-GGA calculation of an optimized crystal structure of GeAs2BrN, from Alexandria.

Calculated values
DOS at the Fermi energy	2.46	states/eV/f.u.
formation energy (no corrections)	89.1	kJ per mole of atoms
polymorph energy (0 for the lowest one)	0.000	eV per atom
total magnetic moment	0.00	μB per cell

Cell lengths 4.3753, 4.3753, 4.8307 Å; angles 90.00, 90.00, 90.00 degrees
Last column: nearest neighbours and their distance in Å.
Space group P4/mmm (No. 123)
Inequivalent atoms, fractional coordinates:
Ge (0.0000, 0.0000, 0.0000) x1  4 Br 3.09, 8 As 3.26
As (0.0000, 0.5000, 0.5000) x2  2 N 2.19
Br (0.5000, 0.5000, 0.0000) x1  2 N 2.42
N (0.5000, 0.5000, 0.5000) x1  4 As 2.19, 2 Br 2.42

---

The following is a PBE-GGA calculation of an optimized crystal structure of SrMoRh2, from Alexandria.

Calculated values
energy of formation	0.08	eV/atom
DOS at the Fermi energy	4.86	states/eV/f.u.
polymorph energy (0 for the lowest one)	0.056	eV per atom
total magnetic moment	0.00	μB per cell

Cell lengths 4.3224, 4.3224, 16.6799 Å; angles 90.00, 90.00, 120.00 degrees
Last column: nearest neighbours and their distance in Å.
Space group R-3m (No. 166, hexagonal axes)
Inequivalent atoms, fractional coordinates:
Sr (0.0000, 0.0000, 0.0000) x3  8 Rh 3.32-3.38
Mo (0.0000, 0.0000, 0.5000) x3  6 Rh 2.57
Rh (0.0000, 0.0000, 0.2023) x6  3 Mo 2.57, 3 Rh 2.76

---

The following is a PBE-GGA calculation of an optimized crystal structure of CrSi2Ir, from Alexandria.

Calculated values
DOS at the Fermi energy	2.87	states/eV/f.u.
formation energy (no corrections)	-26.7	kJ per mole of atoms
total magnetic moment	1.36	μB per cell

Cell lengths 3.1239, 3.1239, 5.3776 Å; angles 90.00, 90.00, 90.00 degrees
Last column: nearest neighbours and their distance in Å.
Space group P4mm (No. 99)
Inequivalent atoms, fractional coordinates:
Cr (0.0000, 0.0000, 0.0000) x1  5 Si 2.40-2.42
Si (0.0000, 0.0000, 0.5505) x1  1 Cr 2.42, 4 Ir 2.48, 4 Si 2.65
Si (0.5000, 0.5000, 0.8237) x1  4 Cr 2.40, 1 Ir 2.60, 4 Si 2.65
Ir (0.5000, 0.5000, 0.3409) x1  5 Si 2.48-2.60

---

Question: What is the total magnetic moment in the fifth record?
Answer: 1.36 μB per cell

---

Question: What is the total magnetic moment in the first record?
Answer: 0.00 μB per cell

---

Question: DOS at the Fermi energy of number 5 (CrSi2Ir)?
Answer: 2.87 states/eV/f.u.